Record 1
A geometry-optimized Pm2HoP2N6 structure. Source: the Alexandria database, functional PBE. Values from VASP.

Output
**DOS at the Fermi energy**: 0.196 states/eV per atom
**VASP energy**: -7.76 eV/atom
**SG**: No. 166

```
&SYSTEM
  ibrav = 0, nat = 11, ntyp = 4
/
ATOMIC_SPECIES
Ho 164.93 Ho.upf
N 14.01 N.upf
Pm 145.00 Pm.upf
P 30.97 P.upf
CELL_PARAMETERS angstrom
5.554 0.000 0.000
2.777 4.810 0.000
2.777 1.603 5.873
ATOMIC_POSITIONS crystal
Ho 0.000 0.000 0.000
N 0.754 0.263 0.720
N 0.263 0.754 0.720
N 0.246 0.737 0.280
N 0.737 0.737 0.280
N 0.737 0.246 0.280
N 0.263 0.263 0.720
Pm 0.206 0.206 0.381
Pm 0.794 0.794 0.619
P 0.414 0.414 0.759
P 0.586 0.586 0.241
```

=====

Record 2
A geometry-optimized Ho4PS2N structure. Source: the Alexandria database, functional PBE. Values from VASP.

Output
**DOS at the Fermi energy**: 0.318 states/eV per atom
**VASP energy**: -6.84 eV/atom
**SG**: No. 10

```
&SYSTEM
  ibrav = 0, nat = 8, ntyp = 4
/
ATOMIC_SPECIES
Ho 164.93 Ho.upf
N 14.01 N.upf
S 32.06 S.upf
P 30.97 P.upf
CELL_PARAMETERS angstrom
3.780 0.000 0.000
0.000 6.579 0.125
0.000 -2.290 6.282
ATOMIC_POSITIONS crystal
Ho 0.500 0.264 0.227
Ho 0.500 0.736 0.773
Ho 0.000 0.722 0.217
Ho 0.000 0.278 0.783
N 0.500 0.500 0.000
S 0.000 0.500 0.500
S 0.500 0.000 0.500
P 0.000 0.000 0.000
```

=====

Record 3
A geometry-optimized Ho6PS3N2 structure. Source: the Alexandria database, functional PBE. Values from VASP.

Output
**DOS at the Fermi energy**: 0.276 states/eV per atom
**VASP energy**: -6.98 eV/atom
**SG**: No. 12

```
&SYSTEM
  ibrav = 0, nat = 12, ntyp = 4
/
ATOMIC_SPECIES
P 30.97 P.upf
Ho 164.93 Ho.upf
N 14.01 N.upf
S 32.06 S.upf
CELL_PARAMETERS angstrom
-3.684 0.463 0.232
-0.927 -4.229 -6.291
1.558 -5.634 6.146
ATOMIC_POSITIONS crystal
P 0.500 0.000 0.000
Ho 0.330 0.882 0.661
Ho 0.983 0.742 0.967
Ho 0.670 0.118 0.339
Ho 0.322 0.437 0.644
Ho 0.017 0.258 0.033
Ho 0.678 0.563 0.356
N 0.171 0.338 0.342
N 0.829 0.662 0.658
S 0.500 0.500 0.000
S 0.837 0.169 0.674
S 0.163 0.831 0.326
```

=====

Record 4
A geometry-optimized Ho8P3S4N structure. Source: the Alexandria database, functional PBE. Values from VASP.

Output
**DOS at the Fermi energy**: 0.363 states/eV per atom
**VASP energy**: -6.68 eV/atom
**SG**: No. 166

```
&SYSTEM
  ibrav = 0, nat = 16, ntyp = 4
/
ATOMIC_SPECIES
Ho 164.93 Ho.upf
S 32.06 S.upf
P 30.97 P.upf
N 14.01 N.upf
CELL_PARAMETERS angstrom
-7.093 2.663 1.573
0.688 -2.506 7.345
5.347 4.747 -2.958
ATOMIC_POSITIONS crystal
Ho 0.767 0.272 0.005
Ho 0.233 0.728 0.466
Ho 0.767 0.272 0.534
Ho 0.762 0.728 0.995
Ho 0.252 0.257 0.505
Ho 0.238 0.272 0.005
Ho 0.233 0.728 0.995
Ho 0.748 0.743 0.495
S 0.500 0.000 0.500
S 0.000 0.000 0.500
S 0.000 0.000 0.000
S 0.500 0.000 0.000
P 0.500 0.500 0.500
P 0.000 0.500 0.500
P 0.500 0.500 0.000
N 0.000 0.500 0.000
```